No. 1
A plane-wave DFT calculation with PBE-GGA was carried out for Zr2MnCuN after structural relaxation.

space group = No. 123
total moment = 0.2 μB/f.u.
formation energy (no corrections) = -0.621 eV per atom

Unit cell a=4.5436 b=4.5436 c=3.6130 alpha=90.00 beta=90.00 gamma=90.00
Element x y z (fractional)
Zr 0.0000 0.5000 0.0000
Zr 0.5000 0.0000 0.0000
Mn 0.0000 0.0000 0.5000
Cu 0.5000 0.5000 0.5000
N 0.0000 0.0000 0.0000

***

No. 2
A plane-wave DFT calculation with PBE-GGA was carried out for NaMnCu4 after structural relaxation.

space group = No. 216
total moment = 4.2 μB/f.u.
energy relative to the elements = 0.2068 eV per atom

Unit cell a=4.9665 b=4.9665 c=4.9665 alpha=60.00 beta=60.00 gamma=60.00
Element x y z (fractional)
Na 0.0000 0.0000 0.0000
Mn 0.2500 0.2500 0.2500
Cu 0.1261 0.6246 0.6246
Cu 0.6246 0.1261 0.6246
Cu 0.6246 0.6246 0.1261
Cu 0.6246 0.6246 0.6246

***

No. 3
A plane-wave DFT calculation with PBE-GGA was carried out for NaMnCuS2 after structural relaxation.

space group = No. 13
total moment = 5.0 μB/f.u.
formation energy (no corrections) = -0.618 eV per atom

Unit cell a=6.5611 b=4.8603 c=6.5503 alpha=90.00 beta=101.66 gamma=90.00
Element x y z (fractional)
Na 0.0000 0.1949 0.2500
Na 0.0000 0.8051 0.7500
Mn 0.5000 0.4957 0.7500
Mn 0.5000 0.5043 0.2500
Cu 0.5000 0.0000 0.0000
Cu 0.5000 0.0000 0.5000
S 0.2547 0.2998 0.9523
S 0.2547 0.7002 0.4523
S 0.7453 0.2998 0.5477
S 0.7453 0.7002 0.0477